Entry 1:
MnAg2PdPt | the Alexandria database | GGA-PBE | relaxed; calculated formation energy = 0.872 eV/atom
1.0
5.059 0.000 0.000
0.000 4.745 0.000
0.000 0.000 5.059
Mn Pd Ag Pt
1 1 2 1
direct
0.000 0.500 0.000
0.500 0.500 0.500
0.000 0.000 0.500
0.500 0.000 0.000
0.000 0.000 0.000

=====

Entry 2:
KS6F2 | the Alexandria database | GGA-PBE | relaxed; formation energy (no corrections) = -0.677 eV/atom
1.0
-0.263 -2.247 3.397
1.750 -5.998 -4.680
6.447 -1.015 5.054
K S F
1 6 2
direct
0.000 0.000 0.000
0.906 0.570 0.305
0.094 0.430 0.695
0.830 0.648 0.719
0.950 0.238 0.551
0.050 0.762 0.449
0.170 0.352 0.281
0.263 0.910 0.206
0.737 0.090 0.794

=====

Entry 3:
Sm2YCd | the Alexandria database | GGA-PBE | relaxed; calculated formation energy = -0.021 eV/atom; energy above the lowest structure with this stoichiometry = 0.135 eV per atom
1.0
-4.976 -1.393 -1.966
-0.440 -2.387 -4.967
-1.426 -5.327 -0.390
Y Sm Cd
1 2 1
direct
0.500 0.500 0.500
0.250 0.250 0.250
0.750 0.750 0.750
0.000 0.000 0.000

=====

The energy results, record by record, are as follows: -4.350 -3.966 -4.225 eV per atom.